The following is a DFT calculation (PBE) of a geometry-optimized TbInNi structure.

```
data_TbInNi
_cell_length_a 7.5149
_cell_length_b 7.5149
_cell_length_c 3.7707
_cell_angle_alpha 90.00
_cell_angle_beta 90.00
_cell_angle_gamma 120.00
_space_group_name_H-M_alt 'P -6 2 m'
_space_group_IT_number 189
_space_group_name_Hall 'P -6 -2'
loop_
_atom_site_label
_atom_site_type_symbol
_atom_site_fract_x
_atom_site_fract_y
_atom_site_fract_z
Tb1 Tb 0.0000 0.5887 0.0000
In1 In 0.0000 0.2545 0.5000
Ni1 Ni 0.0000 0.0000 0.0000
Ni2 Ni 0.3333 0.6667 0.5000
```

Output
Density of states at the Fermi level = 8.9 states/eV per cell
Total energy = -4.884 eV per atom
Density = 9.0 g/cm³

---

The following is a DFT calculation (PBE) of a geometry-optimized Tm6CuIr5 structure.

```
data_Tm6CuIr5
_cell_length_a 8.2258
_cell_length_b 14.5022
_cell_length_c 4.8257
_cell_angle_alpha 90.00
_cell_angle_beta 125.85
_cell_angle_gamma 90.00
_space_group_name_H-M_alt 'C 1 2/m 1'
_space_group_IT_number 12
_space_group_name_Hall '-C 2y'
loop_
_atom_site_label
_atom_site_type_symbol
_atom_site_fract_x
_atom_site_fract_y
_atom_site_fract_z
Tm1 Tm 0.2479 0.0000 0.2475
Tm2 Tm 0.2492 0.1679 0.7492
Cu1 Cu 0.0000 0.5000 0.0000
Ir1 Ir 0.0000 0.0000 0.5000
Ir2 Ir 0.0000 0.1662 0.0000
Ir3 Ir 0.0000 0.3345 0.5000
```

Output
Density of states at the Fermi level = 12.5 states/eV per cell
Total energy = -7.111 eV per atom
Density = 14.5 g/cm³

---

The following is a DFT calculation (PBE) of a geometry-optimized CsCaPuCl6 structure.

```
data_CsCaPuCl6
_cell_length_a 9.8695
_cell_length_b 10.1480
_cell_length_c 14.3033
_cell_angle_alpha 90.00
_cell_angle_beta 90.00
_cell_angle_gamma 90.00
_space_group_name_H-M_alt 'I m m a'
_space_group_IT_number 74
_space_group_name_Hall '-I 2b 2'
loop_
_atom_site_label
_atom_site_type_symbol
_atom_site_fract_x
_atom_site_fract_y
_atom_site_fract_z
Cs1 Cs 0.0000 0.2500 0.0623
Ca1 Ca 0.2500 0.2500 0.7500
Pu1 Pu 0.0000 0.0000 0.5000
Cl1 Cl 0.0000 0.2500 0.4288
Cl2 Cl 0.0000 0.2500 0.8227
Cl3 Cl 0.2069 0.0509 0.6197
```

Output
Density of states at the Fermi level = 39.0 states/eV per cell
ΔE_f (raw) = -2.07 eV per atom
Total energy = -5.215 eV per atom
Density = 2.9 g/cm³

---

The following is a DFT calculation (PBE) of a geometry-optimized Li3La structure.

```
data_Li3La
_cell_length_a 3.4504
_cell_length_b 5.6057
_cell_length_c 10.4006
_cell_angle_alpha 90.00
_cell_angle_beta 90.00
_cell_angle_gamma 90.00
_space_group_name_H-M_alt 'I m m m'
_space_group_IT_number 71
_space_group_name_Hall '-I 2 2'
loop_
_atom_site_label
_atom_site_type_symbol
_atom_site_fract_x
_atom_site_fract_y
_atom_site_fract_z
Li1 Li 0.0000 0.0000 0.0000
Li2 Li 0.0000 0.5000 0.2811
La1 La 0.0000 0.0000 0.5000
```

Output
Density of states at the Fermi level = 6.7 states/eV per cell
Total energy = -2.534 eV per atom
Density = 2.6 g/cm³

---

The following is a DFT calculation (PBE) of a geometry-optimized InBr2Cl structure.

```
data_InBr2Cl
_cell_length_a 13.3713
_cell_length_b 5.4157
_cell_length_c 3.8475
_cell_angle_alpha 90.00
_cell_angle_beta 106.71
_cell_angle_gamma 90.00
_space_group_name_H-M_alt 'C 1 m 1'
_space_group_IT_number 8
_space_group_name_Hall 'C -2y'
loop_
_atom_site_label
_atom_site_type_symbol
_atom_site_fract_x
_atom_site_fract_y
_atom_site_fract_z
In1 In 0.0000 0.0000 0.0000
Br1 Br 0.0234 0.5000 0.9548
Br2 Br 0.3518 0.5000 0.3449
Cl1 Cl 0.1356 0.0000 0.6252
```

Output
ΔE_f (raw) = -0.81 eV per atom
Total energy = -2.797 eV per atom
Density = 3.9 g/cm³

---

The following is a DFT calculation (PBE) of a geometry-optimized SrMg2Hg structure.

```
data_SrMg2Hg
_cell_length_a 4.6305
_cell_length_b 4.6305
_cell_length_c 23.1594
_cell_angle_alpha 90.00
_cell_angle_beta 90.00
_cell_angle_gamma 90.00
_space_group_name_H-M_alt 'I -4 2 d'
_space_group_IT_number 122
_space_group_name_Hall 'I -4 2bw'
loop_
_atom_site_label
_atom_site_type_symbol
_atom_site_fract_x
_atom_site_fract_y
_atom_site_fract_z
Sr1 Sr 0.0000 0.0000 0.0000
Mg1 Mg 0.2147 0.2500 0.6250
Hg1 Hg 0.0000 0.0000 0.5000
```

Output
Density of states at the Fermi level = 8.9 states/eV per cell
Total energy = -1.315 eV per atom
Density = 4.5 g/cm³

---

The following is a DFT calculation (PBE) of a geometry-optimized NdSmDyY2 structure.

```
data_NdSmDyY2
_cell_length_a 8.4822
_cell_length_b 11.5618
_cell_length_c 7.2116
_cell_angle_alpha 90.00
_cell_angle_beta 90.00
_cell_angle_gamma 90.00
_space_group_name_H-M_alt 'C m c m'
_space_group_IT_number 63
_space_group_name_Hall '-C 2c 2'
loop_
_atom_site_label
_atom_site_type_symbol
_atom_site_fract_x
_atom_site_fract_y
_atom_site_fract_z
Nd1 Nd 0.0000 0.2291 0.2500
Sm1 Sm 0.0000 0.4965 0.2500
Dy1 Dy 0.0000 0.2256 0.7500
Y1 Y 0.1882 0.0000 0.0000
```

Output
Density of states at the Fermi level = 32.6 states/eV per cell
Total energy = -5.017 eV per atom
Density = 6.0 g/cm³